## RePb2Br (PBE)

Data for a relaxed RePb2Br crystal.

Unit cell a=3.1651 b=5.7607 c=11.4806 alpha=90.00 beta=90.00 gamma=90.00
Space group Cmm2 (No. 35)
Unique sites:
1 Re 0.0000 0.0000 0.0000 x2
2 Pb 0.0000 0.0000 0.4821 x2
3 Pb 0.0000 0.5000 0.7847 x2
4 Br 0.0000 0.5000 0.1702 x2

Computed properties:
For the offset from the most stable computed form, the calculation gives 168.7 meV per atom. Its mass density is 10.80 g/cm3. The calculation puts the uncorrected formation energy at 2.90 eV/f.u. The total magnetization comes out at 0.0 μB/cell. The density of states at the Fermi level is 5.520 states/eV per cell. As for the total energy: -4.659 eV/atom. As for the crystal system: orthorhombic.